Entry 1:
Compound: Sr2SmPtO5
Source: Alexandria
Functional: PBE
Structure: relaxed

The structure belongs to space group P4/mbm (No. 127); the cell edges are 6.5960, 6.5960 and 6.0705 Å and the angles 90.00°, 90.00° and 90.00°. Symmetry generates all atoms from Sr at (0.1660, 0.3340, 0.0000), Sm at (0.0000, 0.0000, 0.5000), Pt at (0.0000, 0.5000, 0.5000), O at (0.0000, 0.0000, 0.0000) and O at (0.1599, 0.6599, 0.2859).

For the density of states at the Fermi level, the calculation gives 15.29 states/eV per cell. The value obtained for the formation energy from raw total energies is -2.101 eV per atom. Its total energy is -6.42 eV/atom.



Entry 2:
Compound: LiZrAgCl6
Source: Alexandria
Functional: PBE
Structure: relaxed

The structure belongs to space group P-31c (No. 163); the cell edges are 6.4930, 6.4930 and 12.1125 Å and the angles 90.00°, 90.00° and 120.00°. Symmetry generates all atoms from Li at (0.3333, 0.6667, 0.2500), Zr at (0.3333, 0.6667, 0.7500), Ag at (0.0000, 0.0000, 0.0000) and Cl at (0.0102, 0.3588, 0.6325).

For the density of states at the Fermi level, the calculation gives 0.00 states/eV per cell. The value obtained for the formation energy from raw total energies is -1.493 eV per atom. Its total energy is -4.20 eV/atom.



Entry 3:
Compound: NaLaSBr
Source: Alexandria
Functional: PBE
Structure: relaxed

The structure belongs to space group R3m (No. 160, hexagonal axes); the cell edges are 4.1026, 4.1026 and 22.4741 Å and the angles 90.00°, 90.00° and 120.00°. Symmetry generates all atoms from Na at (0.0000, 0.0000, 0.0000), La at (0.0000, 0.0000, 0.1906), S at (0.0000, 0.0000, 0.5979) and Br at (0.0000, 0.0000, 0.4278).

The value obtained for the formation energy from raw total energies is -1.631 eV per atom. Its total energy is -4.64 eV/atom.



Entry 4:
Compound: CaZrSe2
Source: Alexandria
Functional: PBE
Structure: relaxed

The structure belongs to space group R3m (No. 160, hexagonal axes); the cell edges are 3.8627, 3.8627 and 21.4531 Å and the angles 90.00°, 90.00° and 120.00°. Symmetry generates all atoms from Ca at (0.0000, 0.0000, 0.0000), Zr at (0.0000, 0.0000, 0.1739), Se at (0.0000, 0.0000, 0.5822) and Se at (0.0000, 0.0000, 0.7606).

For the density of states at the Fermi level, the calculation gives 7.24 states/eV per cell. The calculation puts the energy above the lowest structure with this stoichiometry at 37 meV per atom. The value obtained for the formation energy from raw total energies is -1.451 eV per atom. Its total energy is -5.83 eV/atom.



Entry 5:
Compound: Pm5HoTm3
Source: Alexandria
Functional: PBE
Structure: relaxed

The structure belongs to space group C2/c (No. 15); the cell edges are 16.4001, 6.7090 and 11.5476 Å and the angles 90.00°, 110.49° and 90.00°. Symmetry generates all atoms from Pm at (0.0000, 0.1898, 0.2500), Pm at (0.1114, 0.0040, 0.5524), Pm at (0.1706, 0.4170, 0.3417), Ho at (0.0000, 0.2589, 0.7500), Tm at (0.0000, 0.5000, 0.0000) and Tm at (0.2385, 0.0941, 0.8742).

For the density of states at the Fermi level, the calculation gives 48.57 states/eV per cell. Its energy of formation is 0.180 eV/atom. The calculation puts the energy above the lowest structure with this stoichiometry at 0 meV per atom. Its total energy is -4.46 eV/atom.



Entry 6:
Compound: Na2HfBr5
Source: Alexandria
Functional: PBE
Structure: relaxed

The structure belongs to space group Cm (No. 8); the cell edges are 13.5677, 8.1044 and 7.8036 Å and the angles 90.00°, 116.32° and 90.00°. Symmetry generates all atoms from Na at (0.0000, 0.0000, 0.0000), Na at (0.0329, 0.5000, 0.5025), Hf at (0.0989, 0.5000, 0.0294), Br at (0.0855, 0.2756, 0.2670), Br at (0.2967, 0.5000, 0.0929) and Br at (0.4973, 0.2241, 0.7575).

For the density of states at the Fermi level, the calculation gives 0.15 states/eV per cell. The value obtained for the formation energy from raw total energies is -1.266 eV per atom. Its total energy is -3.89 eV/atom.



Entry 7:
Compound: CsTl12Pb6
Source: Alexandria
Functional: PBE
Structure: relaxed

The structure belongs to space group R-3m (No. 166, hexagonal axes); the cell edges are 14.4984, 14.4984 and 11.0726 Å and the angles 90.00°, 90.00° and 120.00°. Symmetry generates all atoms from Cs at (0.0000, 0.0000, 0.0000), Tl at (0.0000, 0.3898, 0.5000), Tl at (0.0830, 0.1660, 0.2902) and Pb at (0.0656, 0.5328, 0.2261).

For the density of states at the Fermi level, the calculation gives 36.09 states/eV per cell. Its energy of formation is 0.037 eV/atom. The calculation puts the energy above the lowest structure with this stoichiometry at 0 meV per atom. Its total energy is -2.67 eV/atom.



Entry 8:
Compound: TbLuMgTl
Source: Alexandria
Functional: PBE
Structure: relaxed

The structure belongs to space group F-43m (No. 216); the cell edges are 7.4978, 7.4978 and 7.4978 Å and the angles 90.00°, 90.00° and 90.00°. Symmetry generates all atoms from Tb at (0.0000, 0.0000, 0.0000), Lu at (0.0000, 0.0000, 0.5000), Mg at (0.2500, 0.2500, 0.2500) and Tl at (0.2500, 0.2500, 0.7500).

For the density of states at the Fermi level, the calculation gives 13.52 states/eV per cell. Its energy of formation is -0.204 eV/atom. Its total energy is -3.48 eV/atom.



Entry 9:
Compound: PrCu4Pd2
Source: Alexandria
Functional: PBE
Structure: relaxed

The structure belongs to space group I4/mmm (No. 139); the cell edges are 7.2380, 7.2380 and 5.5005 Å and the angles 90.00°, 90.00° and 90.00°. Symmetry generates all atoms from Pr at (0.0000, 0.0000, 0.0000), Cu at (0.0000, 0.2228, 0.5000) and Pd at (0.0000, 0.5000, 0.2500).

For the density of states at the Fermi level, the calculation gives 6.90 states/eV per cell. Its energy of formation is 0.216 eV/atom. Its total energy is -4.29 eV/atom.



Entry 10:
Compound: AgHg2
Source: Alexandria
Functional: PBE
Structure: relaxed

The structure belongs to space group Fd-3m (No. 227, origin choice 2); the cell edges are 13.0354, 13.0354 and 13.0354 Å and the angles 90.00°, 90.00° and 90.00°. Symmetry generates all atoms from Ag at (0.0362, 0.0362, 0.2138), Hg at (0.0000, 0.0000, 0.0000) and Hg at (0.0584, 0.3750, 0.8750).

For the density of states at the Fermi level, the calculation gives 37.13 states/eV per cell. Its energy of formation is 0.104 eV/atom. The calculation puts the energy above the lowest structure with this stoichiometry at 52 meV per atom. Its total energy is -1.05 eV/atom.



Entry 11:
Compound: CaRh2
Source: Alexandria
Functional: PBE
Structure: relaxed

The structure belongs to space group C2/m (No. 12); the cell edges are 10.8420, 2.9350 and 6.8584 Å and the angles 90.00°, 102.59° and 90.00°. Symmetry generates all atoms from Ca at (0.0181, 0.0000, 0.2820), Rh at (0.1559, 0.5000, 0.0199) and Rh at (0.2170, 0.5000, 0.6442).

For the density of states at the Fermi level, the calculation gives 12.91 states/eV per cell. Its energy of formation is -0.103 eV/atom. Its total energy is -5.67 eV/atom.



Entry 12:
Compound: DyP3Pt6
Source: Alexandria
Functional: PBE
Structure: relaxed

The structure belongs to space group R3 (No. 146, hexagonal axes); the cell edges are 6.3218, 6.3218 and 15.4324 Å and the angles 90.00°, 90.00° and 120.00°. Symmetry generates all atoms from Dy at (0.0000, 0.0000, 0.0000), P at (0.0000, 0.0000, 0.2886), P at (0.0000, 0.0000, 0.5538), P at (0.0000, 0.0000, 0.8055), Pt at (0.0141, 0.2746, 0.1764) and Pt at (0.1361, 0.3769, 0.3501).

For the density of states at the Fermi level, the calculation gives 11.24 states/eV per cell. Its energy of formation is -0.636 eV/atom. Its total energy is -6.34 eV/atom.



Copy entry 10 word for word.
Compound: AgHg2
Source: Alexandria
Functional: PBE
Structure: relaxed

The structure belongs to space group Fd-3m (No. 227, origin choice 2); the cell edges are 13.0354, 13.0354 and 13.0354 Å and the angles 90.00°, 90.00° and 90.00°. Symmetry generates all atoms from Ag at (0.0362, 0.0362, 0.2138), Hg at (0.0000, 0.0000, 0.0000) and Hg at (0.0584, 0.3750, 0.8750).

For the density of states at the Fermi level, the calculation gives 37.13 states/eV per cell. Its energy of formation is 0.104 eV/atom. The calculation puts the energy above the lowest structure with this stoichiometry at 52 meV per atom. Its total energy is -1.05 eV/atom.